First-principles (PBE) data for a geometry-optimized SmHfCu2Sn2 structure, as listed in the Open Quantum Materials Database.

Properties
Its crystal system is trigonal. As for the final energy: -5.4715 eV per atom.

Cell: 4.493 4.493 7.104 Å, 90.00 90.00 120.00°
Atoms (fractional coordinates):
1 Sm 0.000 0.000 0.749
2 Sn 0.333 0.667 0.486
3 Sn 0.667 0.333 0.011
4 Cu 0.333 0.667 0.082
5 Cu 0.667 0.333 0.422
6 Hf 0.000 0.000 0.249



First-principles (PBE) data for a geometry-optimized Sr2ZnOsN6 structure, as listed in the Open Quantum Materials Database.

Properties
Its crystal system is tetragonal. As for the final energy: -6.1108 eV per atom.

Cell: 5.645 5.645 5.645 Å, 120.13 120.13 89.77°
Atoms (fractional coordinates):
1 N 0.743 0.743 0.000
2 N 0.254 0.260 0.514
3 N 0.257 0.257 0.000
4 N 0.740 0.254 0.994
5 N 0.260 0.746 0.006
6 N 0.746 0.740 0.486
7 Zn 0.000 0.000 0.000
8 Sr 0.750 0.250 0.500
9 Sr 0.250 0.750 0.500
10 Os 0.500 0.500 0.000



First-principles (PBE) data for a geometry-optimized BaBPt structure, as listed in the Open Quantum Materials Database.

Properties
Its crystal system is cubic. The value obtained for the energy above the lowest structure with this stoichiometry is 0 meV/atom. As for the final energy: -4.2193 eV per atom.

Cell: 4.602 4.602 4.602 Å, 60.00 60.00 60.00°
Atoms (fractional coordinates):
1 Ba 0.250 0.250 0.250
2 Pt 0.750 0.750 0.750
3 B 0.000 0.000 0.000



First-principles (PBE) data for a geometry-optimized SnTePtO structure, as listed in the Open Quantum Materials Database.

Properties
Its crystal system is tetragonal. The value obtained for the energy above the lowest structure with this stoichiometry is 0 meV/atom. As for the final energy: -5.1688 eV per atom.

Cell: 3.861 3.861 12.562 Å, 90.00 90.00 90.00°
Atoms (fractional coordinates):
1 Pt 0.250 0.250 0.901
2 Pt 0.750 0.750 0.099
3 Te 0.750 0.750 0.884
4 Te 0.250 0.250 0.116
5 Sn 0.750 0.750 0.593
6 Sn 0.250 0.250 0.407
7 O 0.250 0.750 0.500
8 O 0.750 0.250 0.500



First-principles (PBE) data for a geometry-optimized LuGaCoPd structure, as listed in the Open Quantum Materials Database.

Properties
Its crystal system is cubic. The value obtained for the energy above the lowest structure with this stoichiometry is 262 meV/atom. As for the final energy: -5.2291 eV per atom.

Cell: 4.563 4.563 4.563 Å, 60.00 60.00 60.00°
Atoms (fractional coordinates):
1 Pd 0.500 0.500 0.500
2 Co 0.750 0.750 0.750
3 Ga 0.000 0.000 0.000
4 Lu 0.250 0.250 0.250



First-principles (PBE) data for a geometry-optimized RbNbAsO structure, as listed in the Open Quantum Materials Database.

Properties
Its crystal system is orthorhombic. The value obtained for the energy above the lowest structure with this stoichiometry is 0 meV/atom. As for the final energy: -6.2213 eV per atom.

Cell: 3.837 8.446 6.662 Å, 90.00 90.00 90.00°
Atoms (fractional coordinates):
1 As 0.000 0.771 0.444
2 As 0.000 0.229 0.944
3 Rb 0.000 0.823 0.951
4 Rb 0.000 0.177 0.451
5 Nb 0.500 0.589 0.531
6 Nb 0.500 0.411 0.031
7 O 0.500 0.582 0.828
8 O 0.500 0.418 0.328



First-principles (PBE) data for a geometry-optimized ReC2 structure, as listed in the Open Quantum Materials Database.

Properties
Its crystal system is tetragonal. The value obtained for the energy above the lowest structure with this stoichiometry is 451 meV/atom. As for the final energy: -9.3940 eV per atom.

Cell: 2.681 2.681 3.845 Å, 90.00 90.00 90.00°
Atoms (fractional coordinates):
1 Re 0.500 0.500 0.500
2 C 0.000 0.000 0.184
3 C 0.000 0.000 0.816



First-principles (PBE) data for a geometry-optimized Dy2Lu5Ni2Te2 structure, as listed in the Open Quantum Materials Database.

Properties
Its crystal system is orthorhombic. The value obtained for the energy above the lowest structure with this stoichiometry is 4 meV/atom. As for the final energy: -5.1480 eV per atom.

Cell: 9.196 9.196 9.196 Å, 156.12 67.19 118.24°
Atoms (fractional coordinates):
1 Dy 0.448 0.582 0.866
2 Dy 0.716 0.582 0.134
3 Te 0.337 0.337 0.000
4 Te 0.736 0.236 0.500
5 Lu 0.692 0.378 0.315
6 Lu 0.375 0.728 0.646
7 Lu 0.001 0.001 0.000
8 Lu 0.063 0.378 0.685
9 Lu 0.082 0.728 0.354
10 Ni 0.835 0.070 0.765
11 Ni 0.304 0.070 0.235